Record 1
## Be2CdPCl (PBE)

Data for a geometry-optimized Be2CdPCl structure.

Properties
Formation energy (no corrections) ... 1.073 eV/atom

a = 4.6361 Å, b = 4.6361 Å, c = 4.9478 Å
α = 90.00°, β = 90.00°, γ = 90.00°
With the nearest neighbours (Å) after each atom.
Atoms (fractional coordinates):
Be  0.0000  0.5000  0.0000  2 Cd 2.32
Be  0.5000  0.0000  0.0000  2 Cd 2.32
Cd  0.0000  0.0000  0.0000  4 Be 2.32, 2 P 2.47
P  0.0000  0.0000  0.5000  2 Cd 2.47
Cl  0.5000  0.5000  0.5000  4 P 3.28, 8 Be 3.39


Record 2
## BeCdSCl2 (PBE)

Data for a geometry-optimized BeCdSCl2 structure.

Properties
Formation energy (no corrections) ... 0.405 eV/atom

a = 4.9954 Å, b = 4.9954 Å, c = 5.2751 Å
α = 90.00°, β = 90.00°, γ = 90.00°
With the nearest neighbours (Å) after each atom.
Atoms (fractional coordinates):
Be  0.0000  0.0000  0.0000  4 S 3.53, 8 Cl 3.63
Cd  0.5000  0.5000  0.5000  4 Cl 2.50, 2 S 2.64
S  0.5000  0.5000  0.0000  2 Cd 2.64
Cl  0.0000  0.5000  0.5000  2 Cd 2.50
Cl  0.5000  0.0000  0.5000  2 Cd 2.50


Record 3
## BeCdSCl2 (PBE)

Data for a geometry-optimized BeCdSCl2 structure.

Properties
Formation energy (no corrections) ... -0.448 eV/atom

a = 4.2203 Å, b = 4.2203 Å, c = 5.4147 Å
α = 90.00°, β = 90.00°, γ = 90.00°
With the nearest neighbours (Å) after each atom.
Atoms (fractional coordinates):
Be  0.0000  0.0000  0.0000  4 Cl 2.11
Cd  0.5000  0.5000  0.5000  4 S 2.98
S  0.0000  0.0000  0.5000  2 Be 2.71, 4 Cd 2.98
Cl  0.0000  0.5000  0.0000  2 Be 2.11
Cl  0.5000  0.0000  0.0000  2 Be 2.11